PBE RbNiB4, optimized geometry; energy above the most stable polymorph in this dataset = 0.450 eV per atom; total moment = 0.0 μB/cell; SG = Immm (71)
1.0
2.0797 -4.0311 -3.1563
3.7106 -2.9074 2.8836
-5.1547 1.6338 -1.1390
Ni B Rb
1 4 1
Direct
0.0000 0.0000 0.0000 Ni
0.3686 0.7246 0.6440 B
0.0806 0.7246 0.3560 B
0.9194 0.2754 0.6440 B
0.6314 0.2754 0.3560 B
0.5000 0.5000 0.0000 Rb

PBE RbNiB4, optimized geometry; energy above the most stable polymorph in this dataset = 0.000 eV per atom; total moment = 0.0 μB/cell; SG = P6/mmm (191)
1.0
-2.2926 1.9392 0.6766
-0.4091 -3.0349 0.3109
2.6185 0.4299 7.6404
Rb B Ni
1 4 1
Direct
0.0000 0.0000 0.5000 Rb
0.3333 0.6667 0.1747 B
0.3333 0.6667 0.8253 B
0.6667 0.3333 0.1747 B
0.6667 0.3333 0.8253 B
0.0000 0.0000 0.0000 Ni

PBE ReNi2B, optimized geometry; E = -7.298 eV/atom; total moment = 0.5 μB/cell; SG = F-43m (216)
1.0
0.0000 2.7737 2.7737
2.7737 0.0000 2.7737
2.7737 2.7737 0.0000
Ni B Re
2 1 1
Direct
0.0000 0.0000 0.0000 Ni
0.7500 0.7500 0.7500 Ni
0.5000 0.5000 0.5000 B
0.2500 0.2500 0.2500 Re

PBE Re2NiB, optimized geometry; E = -8.669 eV/atom; total moment = 0.2 μB/cell; SG = F-43m (216)
1.0
0.7217 -4.0024 -0.5598
-2.1520 -2.1028 -2.7929
1.8201 -1.2955 -3.4442
B Re Ni
1 2 1
Direct
0.5000 0.5000 0.5000 B
0.7500 0.7500 0.7500 Re
0.0000 0.0000 0.0000 Re
0.2500 0.2500 0.2500 Ni

PBE TaReNiB, optimized geometry; energy above the most stable polymorph in this dataset = 0.000 eV per atom; total moment = 0.0 μB/cell; SG = F-43m (216)
1.0
3.6542 -0.9040 -1.6835
1.9347 -3.4942 1.0254
0.3061 -3.0674 -2.7388
B Re Ni Ta
1 1 1 1
Direct
0.0000 0.0000 0.0000 B
0.7500 0.7500 0.7500 Re
0.5000 0.5000 0.5000 Ni
0.2500 0.2500 0.2500 Ta

PBE TaReNiB, optimized geometry; energy above the most stable polymorph in this dataset = 0.490 eV per atom; total moment = 0.0 μB/cell; SG = F-43m (216)
1.0
-2.0494 -2.8113 2.3973
-3.3838 1.1940 2.2304
-3.8490 -1.3293 -1.1262
Re B Ni Ta
1 1 1 1
Direct
0.5000 0.5000 0.5000 Re
0.0000 0.0000 0.0000 B
0.7500 0.7500 0.7500 Ni
0.2500 0.2500 0.2500 Ta

PBE ReTcNiB, optimized geometry; energy above the most stable polymorph in this dataset = 0.000 eV per atom; total moment = 0.0 μB/cell; SG = F-43m (216)
1.0
0.0000 2.8463 2.8463
2.8463 0.0000 2.8463
2.8463 2.8463 0.0000
Re B Ni Tc
1 1 1 1
Direct
0.2500 0.2500 0.2500 Re
0.0000 0.0000 0.0000 B
0.5000 0.5000 0.5000 Ni
0.7500 0.7500 0.7500 Tc

PBE ReTcNiB, optimized geometry; energy above the most stable polymorph in this dataset = 0.304 eV per atom; total moment = 0.5 μB/cell; SG = F-43m (216)
1.0
0.9011 -3.3944 -2.1062
-3.0051 -2.2704 -1.6078
-0.5458 -0.0976 -4.0574
Re Ni B Tc
1 1 1 1
Direct
0.5000 0.5000 0.5000 Re
0.7500 0.7500 0.7500 Ni
0.0000 0.0000 0.0000 B
0.2500 0.2500 0.2500 Tc

PBE YReNiB, optimized geometry; E = -7.381 eV/atom; total moment = 0.2 μB/cell; SG = F-43m (216)
1.0
-2.0517 -3.3279 -1.8545
-4.1545 0.3871 -1.1465
-1.0810 0.1858 -4.1858
Y B Re Ni
1 1 1 1
Direct
0.7500 0.7500 0.7500 Y
0.0000 0.0000 0.0000 B
0.2500 0.2500 0.2500 Re
0.5000 0.5000 0.5000 Ni

PBE ZnReNiB, optimized geometry; E = -5.975 eV/atom; total moment = 0.8 μB/cell; SG = F-43m (216)
1.0
0.0000 2.8415 2.8415
2.8415 0.0000 2.8415
2.8415 2.8415 0.0000
B Re Zn Ni
1 1 1 1
Direct
0.0000 0.0000 0.0000 B
0.2500 0.2500 0.2500 Re
0.7500 0.7500 0.7500 Zn
0.5000 0.5000 0.5000 Ni

PBE NiBSb, optimized geometry; energy above the most stable polymorph in this dataset = 0.000 eV per atom; total moment = 0.0 μB/cell; SG = F-43m (216)
1.0
0.1783 -2.4030 3.1646
-3.2152 -0.5253 2.2819
-1.9180 -3.4843 -0.0381
B Ni Sb
1 1 1
Direct
0.2500 0.2500 0.2500 B
0.0000 0.0000 0.0000 Ni
0.7500 0.7500 0.7500 Sb

PBE NiBSb2, optimized geometry; E = -3.957 eV/atom; total moment = 0.0 μB/cell; SG = F-43m (216)
1.0
-1.1588 -4.0857 1.9998
1.1868 -0.8495 4.4615
-3.3106 -0.1300 3.3253
Ni B Sb
1 1 2
Direct
0.0000 0.0000 0.0000 Ni
0.2500 0.2500 0.2500 B
0.5000 0.5000 0.5000 Sb
0.7500 0.7500 0.7500 Sb

PBE NiB4Sb, optimized geometry; energy above the most stable polymorph in this dataset = 0.152 eV per atom; total moment = 0.0 μB/cell; SG = Immm (71)
1.0
-1.5359 2.6680 3.7043
1.5359 -2.6680 3.7043
1.5359 2.6680 -3.7043
B Sb Ni
4 1 1
Direct
0.4239 0.7592 0.6647 B
0.9055 0.2408 0.6647 B
0.5761 0.2408 0.3353 B
0.0945 0.7592 0.3353 B
0.0000 0.0000 0.0000 Sb
0.5000 0.5000 0.0000 Ni

PBE NiBSb, optimized geometry; energy above the most stable polymorph in this dataset = 0.392 eV per atom; total moment = 0.0 μB/cell; SG = F-43m (216)
1.0
0.0000 2.8800 2.8800
2.8800 0.0000 2.8800
2.8800 2.8800 0.0000
Ni Sb B
1 1 1
Direct
0.0000 0.0000 0.0000 Ni
0.2500 0.2500 0.2500 Sb
0.5000 0.5000 0.5000 B

PBE NiB4Sb, optimized geometry; energy above the most stable polymorph in this dataset = 0.000 eV per atom; total moment = 0.0 μB/cell; SG = P6/mmm (191)
1.0
-2.6479 0.3134 -1.4294
0.7275 -2.6458 1.2740
-3.4189 2.3587 6.8505
B Sb Ni
4 1 1
Direct
0.3333 0.6667 0.3166 B
0.3333 0.6667 0.6834 B
0.6667 0.3333 0.6834 B
0.6667 0.3333 0.3166 B
0.0000 0.0000 0.0000 Sb
0.0000 0.0000 0.5000 Ni

PBE Sc2NiB2, optimized geometry; E = -6.911 eV/atom; total moment = 0.0 μB/cell; SG = Cmmm (65)
1.0
1.5749 -5.6742 0.0000
1.5749 5.6742 0.0000
0.0000 0.0000 3.4677
Sc B Ni
2 2 1
Direct
0.3688 0.6312 0.5000 Sc
0.6312 0.3688 0.5000 Sc
0.2119 0.7881 0.0000 B
0.7881 0.2119 0.0000 B
0.0000 0.0000 0.0000 Ni

PBE Sc4NiB3, optimized geometry; E = -6.311 eV/atom; total moment = 0.1 μB/cell; SG = P6_3/mmc (194)
1.0
3.2665 0.0000 0.0000
-1.6333 2.8289 0.0000
0.0000 0.0000 26.6432
B Sc Ni
6 8 2
Direct
0.0000 0.0000 0.5000 B
0.0000 0.0000 0.0000 B
0.6667 0.3333 0.3782 B
0.3333 0.6667 0.8782 B
0.6667 0.3333 0.1218 B
0.3333 0.6667 0.6218 B
0.0000 0.0000 0.3214 Sc
0.6667 0.3333 0.9401 Sc
0.6667 0.3333 0.5599 Sc
0.3333 0.6667 0.0599 Sc
0.3333 0.6667 0.4401 Sc
0.0000 0.0000 0.1786 Sc
0.0000 0.0000 0.6786 Sc
0.0000 0.0000 0.8214 Sc
0.6667 0.3333 0.7500 Ni
0.3333 0.6667 0.2500 Ni

PBE Sc3NiB2, optimized geometry; E = -6.302 eV/atom; total moment = 0.0 μB/cell; SG = P6_3/mmc (194)
1.0
3.2866 0.0000 0.0000
-1.6433 2.8463 0.0000
0.0000 0.0000 20.0013
B Sc Ni
4 6 2
Direct
0.3333 0.6667 0.0809 B
0.6667 0.3333 0.9191 B
0.3333 0.6667 0.4191 B
0.6667 0.3333 0.5809 B
0.6667 0.3333 0.1558 Sc
0.0000 0.0000 0.5000 Sc
0.3333 0.6667 0.6558 Sc
0.6667 0.3333 0.3442 Sc
0.3333 0.6667 0.8442 Sc
0.0000 0.0000 0.0000 Sc
0.0000 0.0000 0.7500 Ni
0.0000 0.0000 0.2500 Ni

PBE ScNiB2, optimized geometry; E = -5.851 eV/atom; total moment = 0.0 μB/cell; SG = F-43m (216)
1.0
-3.8911 0.1671 0.0564
-1.9807 -1.7013 2.8903
-1.8171 2.1838 2.6647
Ni B Sc
1 2 1
Direct
0.2500 0.2500 0.2500 Ni
0.5000 0.5000 0.5000 B
0.7500 0.7500 0.7500 B
0.0000 0.0000 0.0000 Sc

PBE ScNiBW, optimized geometry; energy above the most stable polymorph in this dataset = 0.653 eV per atom; total moment = 2.7 μB/cell; SG = F-43m (216)
1.0
-3.9368 -1.6053 -0.3978
-2.8579 0.5553 3.1238
-3.3233 2.6162 -0.5870
B Ni W Sc
1 1 1 1
Direct
0.0000 0.0000 0.0000 B
0.7500 0.7500 0.7500 Ni
0.5000 0.5000 0.5000 W
0.2500 0.2500 0.2500 Sc